Nb2CoAgF: optimized geometry, PBE+U.

Unit cell a=4.303 b=4.303 c=4.228 alpha=90.00 beta=90.00 gamma=90.00
Space group P4/mmm (No. 123)
Asymmetric unit:
1 Nb 0.000 0.500 0.000 (multiplicity 2)
2 Co 0.000 0.000 0.500 (multiplicity 1)
3 Ag 0.500 0.500 0.500 (multiplicity 1)
4 F 0.000 0.000 0.000 (multiplicity 1)

calculated total energy	-29.14	eV/f.u.
magnetization	1.98	μB per formula unit